Entry 1:
# PBE Nd2Ho7Tm2, optimized geometry
# * calculated formation energy: 0.15 eV per atom
# * energy: -0.3263 Ry per atom
# * ΔE to the lowest computed polymorph: 0.022 eV/atom
data_Nd2Ho7Tm2
_chemical_formula_sum 'Nd4 Ho14 Tm4'
_symmetry_space_group_name_H-M 'C 1 2/m 1'
_symmetry_Int_Tables_number 12
_cell_length_a 11.195
_cell_length_b 11.458
_cell_length_c 6.054
_cell_angle_alpha 90.00
_cell_angle_beta 113.72
_cell_angle_gamma 90.00
loop_
_symmetry_equiv_pos_as_xyz
'x,y,z'
'-x,-y,-z'
'-x,y,-z'
'x,-y,z'
'x+1/2,y+1/2,z'
'-x+1/2,-y+1/2,-z'
'-x+1/2,y+1/2,-z'
'x+1/2,-y+1/2,z'
loop_
_atom_site_label
_atom_site_type_symbol
_atom_site_fract_x
_atom_site_fract_y
_atom_site_fract_z
Nd1 Nd 0.089 0.000 0.304
Ho1 Ho 0.000 0.500 0.500
Ho2 Ho 0.175 0.263 0.680
Ho3 Ho 0.227 0.500 0.081
Tm1 Tm 0.000 0.286 0.000



Entry 2:
# PBE NdHo6Tm, optimized geometry
# * calculated formation energy: 0.22 eV per atom
# * energy: -0.3211 Ry per atom
# * ΔE to the lowest computed polymorph: 0.011 eV/atom
data_NdHo6Tm
_chemical_formula_sum 'Nd2 Ho12 Tm2'
_symmetry_space_group_name_H-M 'C 1 2/m 1'
_symmetry_Int_Tables_number 12
_cell_length_a 6.513
_cell_length_b 11.772
_cell_length_c 6.638
_cell_angle_alpha 90.00
_cell_angle_beta 90.08
_cell_angle_gamma 90.00
loop_
_symmetry_equiv_pos_as_xyz
'x,y,z'
'-x,-y,-z'
'-x,y,-z'
'x,-y,z'
'x+1/2,y+1/2,z'
'-x+1/2,-y+1/2,-z'
'-x+1/2,y+1/2,-z'
'x+1/2,-y+1/2,z'
loop_
_atom_site_label
_atom_site_type_symbol
_atom_site_fract_x
_atom_site_fract_y
_atom_site_fract_z
Nd1 Nd 0.000 0.000 0.000
Ho1 Ho 0.003 0.500 0.252
Ho2 Ho 0.184 0.237 0.252
Tm1 Tm 0.000 0.000 0.500



Entry 3:
# PBE NdHo2Tm9, optimized geometry
# * calculated formation energy: 0.04 eV per atom
# * energy: -0.3286 Ry per atom
# * ΔE to the lowest computed polymorph: 0.016 eV/atom
data_NdHo2Tm9
_chemical_formula_sum 'Nd1 Ho2 Tm9'
_symmetry_space_group_name_H-M 'P 6/m m m'
_symmetry_Int_Tables_number 191
_symmetry_space_group_name_Hall '-P 6 2'
_cell_length_a 11.0837
_cell_length_b 11.0837
_cell_length_c 3.4835
_cell_angle_alpha 90.00
_cell_angle_beta 90.00
_cell_angle_gamma 120.00
loop_
_atom_site_label
_atom_site_type_symbol
_atom_site_fract_x
_atom_site_fract_y
_atom_site_fract_z
Nd1 Nd 0.0000 0.0000 0.0000
Ho1 Ho 0.3333 0.6667 0.0000
Tm1 Tm 0.0000 0.5000 0.0000
Tm2 Tm 0.1786 0.3573 0.5000



Entry 4:
# PBE NdHo3Tm4, optimized geometry
# * calculated formation energy: 0.23 eV per atom
# * energy: -0.3173 Ry per atom
# * ΔE to the lowest computed polymorph: 0.225 eV/atom
data_NdHo3Tm4
_chemical_formula_sum 'Nd2 Ho6 Tm8'
_symmetry_space_group_name_H-M 'C m m m'
_symmetry_Int_Tables_number 65
_symmetry_space_group_name_Hall '-C 2 2'
_cell_length_a 5.588
_cell_length_b 26.032
_cell_length_c 3.522
_cell_angle_alpha 90.00
_cell_angle_beta 90.00
_cell_angle_gamma 90.00
loop_
_atom_site_label
_atom_site_type_symbol
_atom_site_fract_x
_atom_site_fract_y
_atom_site_fract_z
Nd1 Nd 0.000 0.000 0.000
Ho1 Ho 0.000 0.343 0.000
Ho2 Ho 0.000 0.500 0.500
Tm1 Tm 0.000 0.105 0.500
Tm2 Tm 0.000 0.224 0.500



Entry 5:
# PBE Nd4Ho3Tm8, optimized geometry
# * calculated formation energy: 0.37 eV per atom
# * energy: -0.3085 Ry per atom
# * ΔE to the lowest computed polymorph: 0.252 eV/atom
data_Nd4Ho3Tm8
_chemical_formula_sum 'Nd8 Ho6 Tm16'
_symmetry_space_group_name_H-M 'C 1 2/m 1'
_symmetry_Int_Tables_number 12
_cell_length_a 13.312
_cell_length_b 12.830
_cell_length_c 6.697
_cell_angle_alpha 90.00
_cell_angle_beta 119.97
_cell_angle_gamma 90.00
loop_
_symmetry_equiv_pos_as_xyz
'x,y,z'
'-x,-y,-z'
'-x,y,-z'
'x,-y,z'
'x+1/2,y+1/2,z'
'-x+1/2,-y+1/2,-z'
'-x+1/2,y+1/2,-z'
'x+1/2,-y+1/2,z'
loop_
_atom_site_label
_atom_site_type_symbol
_atom_site_fract_x
_atom_site_fract_y
_atom_site_fract_z
Nd1 Nd 0.000 0.000 0.000
Nd2 Nd 0.000 0.000 0.500
Nd3 Nd 0.250 0.250 0.000
Ho1 Ho 0.000 0.500 0.000
Ho2 Ho 0.250 0.250 0.500
Tm1 Tm 0.000 0.255 0.000
Tm2 Tm 0.000 0.364 0.500
Tm3 Tm 0.230 0.500 0.965
Tm4 Tm 0.232 0.500 0.488



Entry 6:
# PBE NdHo5Tm, optimized geometry
# * calculated formation energy: 0.06 eV per atom
# * energy: -0.3326 Ry per atom
# * ΔE to the lowest computed polymorph: 0.000 eV/atom
data_NdHo5Tm
_chemical_formula_sum 'Nd2 Ho10 Tm2'
_symmetry_space_group_name_H-M 'P 1 21/m 1'
_symmetry_Int_Tables_number 11
_cell_length_a 9.247
_cell_length_b 3.585
_cell_length_c 13.823
_cell_angle_alpha 90.00
_cell_angle_beta 103.41
_cell_angle_gamma 90.00
loop_
_symmetry_equiv_pos_as_xyz
'x,y,z'
'-x,-y,-z'
'-x,y+1/2,-z'
'x,-y+1/2,z'
loop_
_atom_site_label
_atom_site_type_symbol
_atom_site_fract_x
_atom_site_fract_y
_atom_site_fract_z
Nd1 Nd 0.105 0.250 0.125
Ho1 Ho 0.003 0.750 0.376
Ho2 Ho 0.205 0.250 0.881
Ho3 Ho 0.327 0.250 0.509
Ho4 Ho 0.349 0.750 0.723
Ho5 Ho 0.416 0.750 0.080
Tm1 Tm 0.346 0.750 0.306



Entry 7:
# PBE NdHoTm, optimized geometry
# * calculated formation energy: 0.03 eV per atom
# * energy: -0.3366 Ry per atom
# * ΔE to the lowest computed polymorph: 0.011 eV/atom
data_NdHoTm
_chemical_formula_sum 'Nd2 Ho2 Tm2'
_symmetry_space_group_name_H-M 'I 4 m m'
_symmetry_Int_Tables_number 107
_symmetry_space_group_name_Hall 'I 4 -2'
_cell_length_a 3.567
_cell_length_b 3.567
_cell_length_c 15.128
_cell_angle_alpha 90.00
_cell_angle_beta 90.00
_cell_angle_gamma 90.00
loop_
_atom_site_label
_atom_site_type_symbol
_atom_site_fract_x
_atom_site_fract_y
_atom_site_fract_z
Nd1 Nd 0.000 0.000 0.000
Ho1 Ho 0.000 0.000 0.670
Tm1 Tm 0.000 0.000 0.332



Entry 8:
# PBE NdHo7Tm2, optimized geometry
# * calculated formation energy: 0.02 eV per atom
# * energy: -0.3349 Ry per atom
# * ΔE to the lowest computed polymorph: 0.000 eV/atom
data_NdHo7Tm2
_chemical_formula_sum 'Nd1 Ho7 Tm2'
_symmetry_space_group_name_H-M 'P -1'
_symmetry_Int_Tables_number 2
_cell_length_a 6.111
_cell_length_b 7.062
_cell_length_c 7.886
_cell_angle_alpha 77.09
_cell_angle_beta 75.04
_cell_angle_gamma 73.28
loop_
_symmetry_equiv_pos_as_xyz
'x,y,z'
'-x,-y,-z'
loop_
_atom_site_label
_atom_site_type_symbol
_atom_site_fract_x
_atom_site_fract_y
_atom_site_fract_z
Nd1 Nd 0.000 0.000 0.000
Ho1 Ho 0.000 0.500 0.000
Ho2 Ho 0.200 0.301 0.599
Ho3 Ho 0.400 0.100 0.202
Ho4 Ho 0.401 0.599 0.202
Tm1 Tm 0.200 0.800 0.599



Entry 9:
# PBE NdHoTm3, optimized geometry
# * calculated formation energy: 0.30 eV per atom
# * energy: -0.3127 Ry per atom
# * ΔE to the lowest computed polymorph: 0.293 eV/atom
data_NdHoTm3
_chemical_formula_sum 'Nd2 Ho2 Tm6'
_symmetry_space_group_name_H-M 'P 1 21/m 1'
_symmetry_Int_Tables_number 11
_cell_length_a 3.599
_cell_length_b 11.393
_cell_length_c 8.505
_cell_angle_alpha 90.00
_cell_angle_beta 101.63
_cell_angle_gamma 90.00
loop_
_symmetry_equiv_pos_as_xyz
'x,y,z'
'-x,-y,-z'
'-x,y+1/2,-z'
'x,-y+1/2,z'
loop_
_atom_site_label
_atom_site_type_symbol
_atom_site_fract_x
_atom_site_fract_y
_atom_site_fract_z
Nd1 Nd 0.082 0.250 0.484
Ho1 Ho 0.345 0.250 0.136
Tm1 Tm 0.166 0.000 0.818
Tm2 Tm 0.305 0.750 0.177



Entry 10:
# PBE NdHo2Tm9, optimized geometry
# * calculated formation energy: 0.03 eV per atom
# * energy: -0.3297 Ry per atom
# * ΔE to the lowest computed polymorph: 0.000 eV/atom
data_NdHo2Tm9
_chemical_formula_sum 'Nd1 Ho2 Tm9'
_symmetry_space_group_name_H-M 'P 4/m m m'
_symmetry_Int_Tables_number 123
_symmetry_space_group_name_Hall '-P 4 2'
_cell_length_a 4.963
_cell_length_b 4.963
_cell_length_c 14.887
_cell_angle_alpha 90.00
_cell_angle_beta 90.00
_cell_angle_gamma 90.00
loop_
_atom_site_label
_atom_site_type_symbol
_atom_site_fract_x
_atom_site_fract_y
_atom_site_fract_z
Nd1 Nd 0.000 0.000 0.000
Ho1 Ho 0.000 0.000 0.334
Tm1 Tm 0.000 0.500 0.169
Tm2 Tm 0.000 0.500 0.500
Tm3 Tm 0.500 0.500 0.000
Tm4 Tm 0.500 0.500 0.335



Q: Look up the ΔE to the lowest computed polymorph of the tenth one.
A: 0.000 eV/atom



Repeat the first record exactly.
# PBE Nd2Ho7Tm2, optimized geometry
# * calculated formation energy: 0.15 eV per atom
# * energy: -0.3263 Ry per atom
# * ΔE to the lowest computed polymorph: 0.022 eV/atom
data_Nd2Ho7Tm2
_chemical_formula_sum 'Nd4 Ho14 Tm4'
_symmetry_space_group_name_H-M 'C 1 2/m 1'
_symmetry_Int_Tables_number 12
_cell_length_a 11.195
_cell_length_b 11.458
_cell_length_c 6.054
_cell_angle_alpha 90.00
_cell_angle_beta 113.72
_cell_angle_gamma 90.00
loop_
_symmetry_equiv_pos_as_xyz
'x,y,z'
'-x,-y,-z'
'-x,y,-z'
'x,-y,z'
'x+1/2,y+1/2,z'
'-x+1/2,-y+1/2,-z'
'-x+1/2,y+1/2,-z'
'x+1/2,-y+1/2,z'
loop_
_atom_site_label
_atom_site_type_symbol
_atom_site_fract_x
_atom_site_fract_y
_atom_site_fract_z
Nd1 Nd 0.089 0.000 0.304
Ho1 Ho 0.000 0.500 0.500
Ho2 Ho 0.175 0.263 0.680
Ho3 Ho 0.227 0.500 0.081
Tm1 Tm 0.000 0.286 0.000